Compound: Sr2ScO2
Source: Alexandria
Functional: GGA-PBE
Structure: optimized geometry

Results
The value obtained for the volume is 18.20 Å³/atom. The value obtained for the relative energy among the computed polymorphs is 458 meV/atom. Its magnetization is 1.56 μB per cell. As for the uncorrected formation energy: -8.0 eV/f.u. The value obtained for the total energy is -55.23 eV/cell. For the density of states at the Fermi level, the calculation gives 7.285 states/eV/cell.

Unit cell a=6.8727 b=6.8727 c=3.8538 alpha=90.00 beta=90.00 gamma=90.00
Closest atoms and distances in Å follow each position.
Space group P4/mbm (No. 127)
Asymmetric unit:
Sr 0.1598 0.3402 0.0000 x4  2 O 2.46
Sc 0.0000 0.0000 0.5000 x2  4 O 2.51
O 0.1833 0.6833 0.5000 x4  2 Sr 2.46, 2 Sc 2.51

---

Compound: Sr5ScO6
Source: Alexandria
Functional: GGA-PBE
Structure: optimized geometry

Results
The value obtained for the volume is 16.23 Å³/atom. Its magnetization is 0.00 μB per cell. As for the uncorrected formation energy: -32.5 eV/f.u. The value obtained for the total energy is -153.91 eV/cell. For the density of states at the Fermi level, the calculation gives 3.407 states/eV/cell.

Unit cell a=6.2087 b=10.7558 c=6.1893 alpha=90.00 beta=109.52 gamma=90.00
Closest atoms and distances in Å follow each position.
Space group C2/m (No. 12)
Asymmetric unit:
Sr 0.0000 0.0000 0.0000 x2  6 O 2.53-2.79
Sr 0.0000 0.1669 0.5000 x4  6 O 2.56
Sr 0.0000 0.3346 0.0000 x4  6 O 2.52-2.80
Sc 0.0000 0.5000 0.5000 x2  6 O 2.27-2.28
O 0.2214 0.5000 0.2720 x4  1 Sc 2.28, 2 Sr 2.52
O 0.2248 0.3513 0.7270 x8  1 Sc 2.27, 2 Sr 2.53

---

Compound: SrScO2
Source: Alexandria
Functional: GGA-PBE
Structure: optimized geometry

Results
The value obtained for the volume is 16.30 Å³/atom. The value obtained for the relative energy among the computed polymorphs is 107 meV/atom. Its magnetization is 0.29 μB per cell. As for the uncorrected formation energy: -10.2 eV/f.u. The value obtained for the total energy is -84.36 eV/cell. For the density of states at the Fermi level, the calculation gives 3.972 states/eV/cell.

Unit cell a=3.3389 b=3.3389 c=20.2555 alpha=90.00 beta=90.00 gamma=120.00
Closest atoms and distances in Å follow each position.
Space group R-3m (No. 166, hexagonal axes)
Asymmetric unit:
Sr 0.0000 0.0000 0.0000 x3  2 O 2.36
Sc 0.0000 0.0000 0.5000 x3  6 O 2.18
O 0.0000 0.0000 0.1163 x6  3 Sc 2.18, 1 Sr 2.36

---

Compound: Sr3ScTa2O9
Source: Alexandria
Functional: GGA-PBE
Structure: optimized geometry

Results
The value obtained for the volume is 13.58 Å³/atom. Its magnetization is 0.00 μB per cell. As for the uncorrected formation energy: -46.1 eV/f.u. The value obtained for the total energy is -125.84 eV/cell. For the density of states at the Fermi level, the calculation gives 3.057 states/eV/cell.

Unit cell a=5.7702 b=5.7702 c=7.0619 alpha=90.00 beta=90.00 gamma=120.00
Closest atoms and distances in Å follow each position.
Space group P-3m1 (No. 164)
Asymmetric unit:
Sr 0.0000 0.0000 0.0000 x1  12 O 2.87-2.89
Sr 0.3333 0.6667 0.6599 x2  12 O 2.86-2.92
Sc 0.0000 0.0000 0.5000 x1  6 O 2.09
Ta 0.3333 0.6667 0.1686 x2  6 O 1.98-2.05
O 0.0000 0.5000 0.0000 x3  2 Ta 2.05
O 0.1701 0.3402 0.3275 x6  1 Ta 1.98, 1 Sc 2.09

---

Compound: SrTb2Sc2O7
Source: Alexandria
Functional: GGA-PBE
Structure: optimized geometry

Results
The value obtained for the volume is 13.77 Å³/atom. Its magnetization is 0.00 μB per cell. As for the uncorrected formation energy: -39.8 eV/f.u. The value obtained for the total energy is -196.18 eV/cell. For the density of states at the Fermi level, the calculation gives 0.000 states/eV/cell.

Unit cell a=4.0432 b=4.0432 c=20.2108 alpha=90.00 beta=90.00 gamma=90.00
Closest atoms and distances in Å follow each position.
Space group I4/mmm (No. 139)
Asymmetric unit:
Sr 0.0000 0.0000 0.0000 x2  12 O 2.86-3.06
Tb 0.0000 0.0000 0.1831 x4  1 O 2.13
Sc 0.0000 0.0000 0.3970 x4  6 O 2.03-2.20
O 0.0000 0.0000 0.2883 x4  1 Tb 2.13, 1 Sc 2.20
O 0.0000 0.0000 0.5000 x2  2 Sc 2.08
O 0.0000 0.5000 0.1140 x8  2 Sc 2.03

---

Compound: Sr3ScTc2O9
Source: Alexandria
Functional: GGA-PBE
Structure: optimized geometry

Results
The value obtained for the volume is 12.92 Å³/atom. Its magnetization is 0.00 μB per cell. As for the uncorrected formation energy: -36.7 eV/f.u. The value obtained for the total energy is -113.40 eV/cell. For the density of states at the Fermi level, the calculation gives 6.106 states/eV/cell.

Unit cell a=5.6819 b=5.6819 c=6.9310 alpha=90.00 beta=90.00 gamma=120.00
Closest atoms and distances in Å follow each position.
Space group P-3m1 (No. 164)
Asymmetric unit:
Sr 0.0000 0.0000 0.0000 x1  12 O 2.82-2.84
Sr 0.3333 0.6667 0.6510 x2  12 O 2.76-2.92
Sc 0.0000 0.0000 0.5000 x1  6 O 2.08
Tc 0.3333 0.6667 0.1555 x2  6 O 1.96-1.98
O 0.0000 0.5000 0.0000 x3  2 Tc 1.96
O 0.1715 0.3431 0.3258 x6  1 Tc 1.98, 1 Sc 2.08

---

Compound: SrScTc2O8
Source: Alexandria
Functional: GGA-PBE
Structure: optimized geometry

Results
The value obtained for the volume is 16.88 Å³/atom. Its magnetization is 3.01 μB per cell. As for the uncorrected formation energy: -24.3 eV/f.u. The value obtained for the total energy is -92.76 eV/cell. For the density of states at the Fermi level, the calculation gives 7.404 states/eV/cell.

Unit cell a=5.8068 b=5.8068 c=6.9378 alpha=90.00 beta=90.00 gamma=120.00
Closest atoms and distances in Å follow each position.
Space group P-3m1 (No. 164)
Asymmetric unit:
Sr 0.0000 0.0000 0.0000 x1  6 O 2.65
Sc 0.0000 0.0000 0.5000 x1  6 O 2.10
Tc 0.3333 0.6667 0.7724 x2  4 O 1.77-1.83
O 0.1597 0.3194 0.6957 x6  1 Tc 1.83
O 0.3333 0.6667 0.0276 x2  1 Tc 1.77

---

Compound: Sr2ScTcO6
Source: Alexandria
Functional: GGA-PBE
Structure: optimized geometry

Results
The value obtained for the volume is 13.13 Å³/atom. Its magnetization is 4.02 μB per cell. As for the uncorrected formation energy: -26.2 eV/f.u. The value obtained for the total energy is -152.12 eV/cell. For the density of states at the Fermi level, the calculation gives 8.058 states/eV/cell.

Unit cell a=5.7104 b=5.7053 c=9.8691 alpha=90.00 beta=125.27 gamma=90.00
Closest atoms and distances in Å follow each position.
Space group P2_1/c (No. 14)
Asymmetric unit:
Sr 0.2464 0.0189 0.2498 x4  8 O 2.58-2.85
Sc 0.5000 0.0000 0.0000 x2  6 O 2.10
Tc 0.0000 0.0000 0.5000 x2  6 O 1.98
O 0.1897 0.2322 0.9721 x4  1 Tc 1.98, 1 Sc 2.10
O 0.2393 0.7184 0.9725 x4  1 Tc 1.98, 1 Sc 2.10
O 0.2956 0.0073 0.7425 x4  1 Tc 1.98, 1 Sc 2.10

---

Compound: SrSc2TcO8
Source: Alexandria
Functional: GGA-PBE
Structure: optimized geometry

Results
The value obtained for the volume is 13.00 Å³/atom. Its magnetization is 0.22 μB per cell. As for the uncorrected formation energy: -27.4 eV/f.u. The value obtained for the total energy is -91.80 eV/cell. For the density of states at the Fermi level, the calculation gives 1.156 states/eV/cell.

Unit cell a=4.6325 b=6.8402 c=4.9214 alpha=90.00 beta=90.08 gamma=90.00
Closest atoms and distances in Å follow each position.
Space group P2/m (No. 10)
Asymmetric unit:
Sr 0.0000 0.0000 0.0000 x1  6 O 2.47-2.52
Sc 0.5000 0.2635 0.5000 x2  6 O 2.12-2.17
Tc 0.0000 0.5000 0.0000 x1  6 O 1.87-1.96
O 0.2300 0.3055 0.8416 x4  1 Tc 1.87
O 0.2590 0.5000 0.3153 x2  1 Tc 1.96, 2 Sc 2.17
O 0.2660 0.0000 0.4481 x2  2 Sc 2.12, 1 O 2.23

---

Compound: Sr2ThScO6
Source: Alexandria
Functional: GGA-PBE
Structure: optimized geometry

Results
The value obtained for the volume is 15.57 Å³/atom. Its magnetization is 1.85 μB per cell. As for the uncorrected formation energy: -30.5 eV/f.u. The value obtained for the total energy is -154.81 eV/cell. For the density of states at the Fermi level, the calculation gives 16.605 states/eV/cell.

Unit cell a=10.3500 b=6.0196 c=6.0450 alpha=90.00 beta=124.22 gamma=90.00
Closest atoms and distances in Å follow each position.
Space group C2/m (No. 12)
Asymmetric unit:
Sr 0.2465 0.0000 0.2239 x4  5 O 2.54-2.61
Th 0.0000 0.0000 0.5000 x2  6 O 2.27-2.30
Sc 0.0000 0.5000 0.0000 x2  6 O 2.12-2.16
O 0.0605 0.2561 0.8208 x8  1 Sc 2.12, 1 Th 2.27
O 0.2399 0.5000 0.3440 x4  1 Sc 2.16, 1 Th 2.30

---

Compound: SrSc4TiO8
Source: Alexandria
Functional: GGA-PBE
Structure: optimized geometry

Results
The value obtained for the volume is 13.32 Å³/atom. Its magnetization is 4.99 μB per cell. As for the uncorrected formation energy: -43.0 eV/f.u. The value obtained for the total energy is -352.61 eV/cell. For the density of states at the Fermi level, the calculation gives 13.755 states/eV/cell.

Unit cell a=6.3397 b=6.3397 c=16.0768 alpha=90.00 beta=90.00 gamma=120.00
Closest atoms and distances in Å follow each position.
Space group R3m (No. 160, hexagonal axes)
Asymmetric unit:
Sr 0.0000 0.0000 0.0000 x3  6 O 2.39-2.42
Sc 0.0000 0.0000 0.3810 x3  4 O 2.01-2.16
Sc 0.0032 0.5016 0.5010 x9  6 O 2.16-2.29
Ti 0.0000 0.0000 0.6204 x3  4 O 1.90-2.04
O 0.0000 0.0000 0.2466 x3  4 Sc 2.16-2.24
O 0.0000 0.0000 0.7470 x3  1 Ti 2.04
O 0.0028 0.5014 0.7636 x9  3 Sc 2.01-2.16
O 0.0140 0.5070 0.2409 x9  1 Ti 1.90

---

Compound: SrSc2TlO
Source: Alexandria
Functional: GGA-PBE
Structure: optimized geometry

Results
The value obtained for the volume is 21.10 Å³/atom. Its magnetization is 0.00 μB per cell. As for the uncorrected formation energy: -6.0 eV/f.u. The value obtained for the total energy is -27.69 eV/cell. For the density of states at the Fermi level, the calculation gives 2.504 states/eV/cell.

Unit cell a=4.5869 b=4.5869 c=5.0134 alpha=90.00 beta=90.00 gamma=90.00
Closest atoms and distances in Å follow each position.
Space group P4/mmm (No. 123)
Asymmetric unit:
Sr 0.0000 0.0000 0.0000 x1  2 O 2.51
Sc 0.0000 0.5000 0.5000 x2  2 O 2.29
Tl 0.5000 0.5000 0.0000 x1  4 Sr 3.24, 8 Sc 3.40
O 0.0000 0.0000 0.5000 x1  4 Sc 2.29, 2 Sr 2.51